RbReB2Pt | Alexandria | PBE | relaxed; DOS(E_F) = 4.39 states/eV per cell; calculated formation energy = 3.84 eV/atom
1.0
4.365 0.000 0.000
0.000 4.365 0.000
0.000 0.000 4.990
Rb Re B Pt
1 1 2 1
Direct
0.000 0.000 0.000
0.000 0.000 0.500
0.000 0.500 0.000
0.500 0.000 0.000
0.500 0.500 0.500